LiFeAu2 | GGA-PBE | optimized geometry

Computed properties:
The calculation puts the theoretical density at 12.337 g/cm³. For the volume, the calculation gives 15.37 Å³/atom. Its total energy is -4.38 eV/atom. The value obtained for the total magnetization is 3.02 μB/f.u. As for the crystal system: tetragonal. Its space group is P4/mmm, No. 123. Its formation energy is -149 meV/atom.

Cell: 2.863 2.863 7.498 Å, 90.00 90.00 90.00°
Positions (direct):
Li  0.000  0.000  0.000
Fe  0.000  0.000  0.500
Au  0.500  0.500  0.250
Au  0.500  0.500  0.750

LiFe2Au | GGA-PBE | optimized geometry

Computed properties:
The calculation puts the theoretical density at 9.470 g/cm³. For the volume, the calculation gives 13.84 Å³/atom. Its total energy is -5.42 eV/atom. The value obtained for the total magnetization is 5.44 μB/f.u. As for the crystal system: monoclinic. Its space group is C2/m, No. 12. Its formation energy is 109 meV/atom.

Cell: 5.228 5.228 2.661 Å, 101.59 101.59 122.99°
Positions (direct):
Li  0.000  0.000  0.000
Fe  0.000  0.500  0.500
Fe  0.500  0.000  0.500
Au  0.500  0.500  0.000

LiFe2Au | GGA-PBE | optimized geometry

Computed properties:
The calculation puts the theoretical density at 9.325 g/cm³. For the volume, the calculation gives 14.05 Å³/atom. Its total energy is -5.25 eV/atom. The value obtained for the total magnetization is 5.56 μB/f.u. As for the crystal system: tetragonal. Its space group is P4/mmm, No. 123. Its formation energy is 278 meV/atom.

Cell: 3.292 3.292 5.185 Å, 90.00 90.00 90.00°
Positions (direct):
Li  0.000  0.000  0.000
Fe  0.500  0.500  0.235
Fe  0.500  0.500  0.765
Au  0.000  0.000  0.500

LiFe2Au | GGA-PBE | optimized geometry

Computed properties:
The calculation puts the theoretical density at 8.890 g/cm³. For the volume, the calculation gives 14.74 Å³/atom. Its total energy is -5.19 eV/atom. The value obtained for the total magnetization is 5.51 μB/f.u. As for the crystal system: orthorhombic. Its space group is Cmmm, No. 65. Its formation energy is 335 meV/atom.

Cell: 2.633 2.633 9.038 Å, 90.00 90.00 109.83°
Positions (direct):
Li  0.000  0.000  0.000
Fe  0.500  0.500  0.246
Fe  0.500  0.500  0.754
Au  0.000  0.000  0.500

Li2FeAu2 | GGA-PBE | optimized geometry

Computed properties:
The calculation puts the theoretical density at 9.711 g/cm³. For the volume, the calculation gives 15.86 Å³/atom. Its total energy is -3.87 eV/atom. The value obtained for the total magnetization is 3.01 μB/f.u. As for the crystal system: tetragonal. Its distance to the lowest polymorph of the same formula is 0.10 eV per formula unit. Its space group is P4/mbm, No. 127. Its formation energy is -98 meV/atom.

Cell: 7.046 7.046 3.195 Å, 90.00 90.00 90.00°
Positions (direct):
Li  0.149  0.351  0.000
Li  0.351  0.851  0.000
Li  0.649  0.149  0.000
Li  0.851  0.649  0.000
Fe  0.000  0.000  0.500
Fe  0.500  0.500  0.500
Au  0.151  0.651  0.500
Au  0.349  0.151  0.500
Au  0.651  0.849  0.500
Au  0.849  0.349  0.500

LiFeAu2 | GGA-PBE | optimized geometry

Computed properties:
The calculation puts the theoretical density at 11.019 g/cm³. For the volume, the calculation gives 17.21 Å³/atom. Its total energy is -4.01 eV/atom. The value obtained for the total magnetization is 3.14 μB/f.u. As for the crystal system: tetragonal. Its space group is I-42d, No. 122. Its formation energy is 225 meV/atom.

Cell: 9.303 9.303 9.303 Å, 155.56 155.56 34.83°
Positions (direct):
Li  0.000  0.000  0.000
Li  0.750  0.250  0.500
Fe  0.250  0.750  0.500
Fe  0.500  0.500  0.000
Au  0.123  0.625  0.998
Au  0.375  0.373  0.498
Au  0.627  0.125  0.002
Au  0.875  0.877  0.502

Li3FeAu | GGA-PBE | optimized geometry

Computed properties:
The calculation puts the theoretical density at 4.245 g/cm³. For the volume, the calculation gives 21.41 Å³/atom. Its total energy is -3.03 eV/atom. The value obtained for the total magnetization is 2.92 μB/f.u. As for the crystal system: cubic. Its distance to the lowest polymorph of the same formula is 0.00 eV per formula unit. Its space group is Pm-3m, No. 221. Its formation energy is 471 meV/atom.

Cell: 4.748 4.748 4.748 Å, 90.00 90.00 90.00°
Positions (direct):
Li  0.000  0.000  0.500
Li  0.000  0.500  0.000
Li  0.500  0.000  0.000
Fe  0.500  0.500  0.500
Au  0.000  0.000  0.000

Li5FeAuN2 | GGA-PBE | optimized geometry

Computed properties:
The calculation puts the theoretical density at 4.160 g/cm³. For the volume, the calculation gives 13.99 Å³/atom. Its total energy is -4.52 eV/atom. The value obtained for the total magnetization is 0.61 μB/f.u. As for the crystal system: tetragonal. Its space group is P4/mmm, No. 123.

Cell: 4.116 4.116 7.436 Å, 90.00 90.00 90.00°
Positions (direct):
Li  0.000  0.000  0.000
Li  0.000  0.500  0.277
Li  0.000  0.500  0.723
Li  0.500  0.000  0.277
Li  0.500  0.000  0.723
Fe  0.000  0.000  0.500
Au  0.500  0.500  0.000
N  0.000  0.000  0.271
N  0.000  0.000  0.729

NaLi2FeAu | GGA-PBE | optimized geometry

Computed properties:
The calculation puts the theoretical density at 4.988 g/cm³. For the volume, the calculation gives 19.29 Å³/atom. Its total energy is -2.56 eV/atom. The value obtained for the total magnetization is 2.95 μB/f.u. As for the crystal system: tetragonal. Its space group is P4/mmm, No. 123. Its formation energy is 822 meV/atom.

Cell: 4.367 4.367 5.057 Å, 90.00 90.00 90.00°
Positions (direct):
Na  0.000  0.000  0.000
Li  0.000  0.500  0.000
Li  0.500  0.000  0.000
Fe  0.500  0.500  0.500
Au  0.000  0.000  0.500

LiFeRhAu | GGA-PBE | optimized geometry

Computed properties:
The calculation puts the theoretical density at 10.749 g/cm³. For the volume, the calculation gives 14.01 Å³/atom. Its total energy is -5.38 eV/atom. The value obtained for the total magnetization is 3.87 μB/f.u. As for the crystal system: cubic. Its space group is F-43m, No. 216. Its formation energy is -129 meV/atom.

Cell: 4.295 4.295 4.295 Å, 60.00 60.00 60.00°
Positions (direct):
Li  0.000  0.000  0.000
Fe  0.500  0.500  0.500
Rh  0.250  0.250  0.250
Au  0.750  0.750  0.750

LiFe2AuS | GGA-PBE | optimized geometry

Computed properties:
The calculation puts the theoretical density at 7.309 g/cm³. For the volume, the calculation gives 15.80 Å³/atom. Its total energy is -4.26 eV/atom. The value obtained for the total magnetization is 5.98 μB/f.u. As for the crystal system: tetragonal. Its space group is P4/mmm, No. 123.

Cell: 4.291 4.291 4.289 Å, 90.00 90.00 90.00°
Positions (direct):
Li  0.000  0.000  0.000
Fe  0.000  0.500  0.000
Fe  0.500  0.000  0.000
Au  0.000  0.000  0.500
S  0.500  0.500  0.500

LiFeAu2Se | GGA-PBE | optimized geometry

Computed properties:
The calculation puts the theoretical density at 7.818 g/cm³. For the volume, the calculation gives 22.76 Å³/atom. Its total energy is -3.51 eV/atom. The value obtained for the total magnetization is 3.37 μB/f.u. As for the crystal system: tetragonal. Its space group is P4/mmm, No. 123.

Cell: 5.073 5.073 4.421 Å, 90.00 90.00 90.00°
Positions (direct):
Li  0.000  0.000  0.000
Fe  0.500  0.500  0.000
Au  0.000  0.500  0.500
Au  0.500  0.000  0.500
Se  0.000  0.000  0.500

Li2ZrFeAu | GGA-PBE | optimized geometry

Computed properties:
The calculation puts the theoretical density at 6.594 g/cm³. For the volume, the calculation gives 18.03 Å³/atom. Its total energy is -4.24 eV/atom. The value obtained for the total magnetization is 0.00 μB/f.u. As for the crystal system: tetragonal. Its space group is P4/mmm, No. 123. Its formation energy is 588 meV/atom.

Cell: 4.254 4.254 4.980 Å, 90.00 90.00 90.00°
Positions (direct):
Li  0.000  0.500  0.000
Li  0.500  0.000  0.000
Zr  0.000  0.000  0.500
Fe  0.500  0.500  0.500
Au  0.500  0.500  0.000

Lu2FeAu | GGA-PBE | optimized geometry

Computed properties:
The calculation puts the theoretical density at 12.578 g/cm³. For the volume, the calculation gives 19.89 Å³/atom. Its total energy is -5.55 eV/atom. The value obtained for the total magnetization is 1.07 μB/f.u. As for the crystal system: cubic. Its distance to the lowest polymorph of the same formula is 0.31 eV per formula unit. Its space group is Fm-3m, No. 225. Its formation energy is -353 meV/atom.

Cell: 4.828 4.828 4.828 Å, 60.00 60.00 60.00°
Positions (direct):
Lu  0.250  0.250  0.250
Lu  0.750  0.750  0.750
Fe  0.000  0.000  0.000
Au  0.500  0.500  0.500

LuFe4Au | GGA-PBE | optimized geometry

Computed properties:
The calculation puts the theoretical density at 11.266 g/cm³. For the volume, the calculation gives 14.62 Å³/atom. Its total energy is -7.08 eV/atom. The value obtained for the total magnetization is 9.49 μB/f.u. As for the crystal system: cubic. Its space group is F-43m, No. 216. Its formation energy is -134 meV/atom.

Cell: 4.988 4.988 4.988 Å, 60.00 60.00 60.00°
Positions (direct):
Lu  0.000  0.000  0.000
Fe  0.123  0.626  0.626
Fe  0.626  0.123  0.626
Fe  0.626  0.626  0.123
Fe  0.626  0.626  0.626
Au  0.250  0.250  0.250